# 1
DFT (PBE-GGA) results for an optimized crystal structure of NaPd.

Results
**SG**: No. 59
**Crystal system**: orthorhombic
**DFT formation energy**: -0.069 eV per atom

Cell and atoms, written as extended XYZ:
```
12
Lattice="5.5081 0.0000 0.0000 0.0000 9.6495 0.0000 0.0000 0.0000 5.0284" Properties=species:S:1:pos:R:3 pbc="T T T"
Na 1.3770 0.8129 0.0000
Na 1.3770 4.0119 0.0000
Na 1.3770 7.2371 1.8260
Na 4.1311 2.4124 3.2024
Na 4.1311 5.6376 0.0000
Na 4.1311 8.8366 0.0000
Pd 0.0000 0.0000 2.5142
Pd 0.0000 4.8247 2.5142
Pd 1.3770 2.4124 2.4974
Pd 2.7540 0.0000 2.5142
Pd 2.7540 4.8247 2.5142
Pd 4.1311 7.2371 2.5311
```

---

# 2
DFT (PBE-GGA) results for an optimized crystal structure of NaPd2.

Results
**SG**: No. 139
**Crystal system**: tetragonal
**DFT formation energy**: -0.008 eV per atom

Cell and atoms, written as extended XYZ:
```
3
Lattice="-1.4085 1.4085 6.5297 1.4085 -1.4085 6.5297 1.4085 1.4085 -6.5297" Properties=species:S:1:pos:R:3 pbc="T T T"
Na 0.0000 0.0000 0.0000
Pd 0.0000 0.0000 4.2430
Pd 0.0000 0.0000 8.8164
```

---

We obtain magnetic moment values of 0.0 0.0 μB per formula unit for the records listed above, in that order.
We obtain density of states at the Fermi level values of 3.6 4.3 states/eV per cell for the records listed above, in that order.